# SmZnNi

SmZnNi after structural relaxation (PBE, the Open Quantum Materials Database).

```
SmZnNi
1.0
6.8174 0.0000 0.0000
-3.4087 5.9040 0.0000
0.0000 0.0000 4.2090
Ni Sm Zn
3 3 3
direct
0.2216 0.0000 0.0000
0.0000 0.2216 0.0000
0.7784 0.7784 0.0000
0.5690 0.0000 0.5000
0.4310 0.4310 0.5000
0.0000 0.5690 0.5000
0.6667 0.3333 0.0000
0.3333 0.6667 0.0000
0.0000 0.0000 0.5000
```

Properties
spin magnetization: 0.035 μB/atom
DFT formation energy: -0.23 eV per atom
E: -36.691 eV per cell